# 1
Here is a relaxed structure of KSiSn3 from Alexandria. Energies are from PBE.

Cell: 5.401 5.401 5.401 Å, 90.00 90.00 90.00°
Atoms (fractional coordinates):
K1 0.000 0.000 0.000
Si1 0.500 0.500 0.500
Sn1 0.000 0.500 0.500
Sn2 0.500 0.000 0.500
Sn3 0.500 0.500 0.000

Output
Formation energy without anion corrections = 0.2722 eV/atom
Calculated volume = 31.52 A^3/atom
E above lowest polymorph = 0 meV/atom
DOS(E_F) = 3.64 states/eV/f.u.
Size of the total moment = 0.0 μB/f.u.

# 2
Here is a relaxed structure of KSiSn3 from Alexandria. Energies are from PBE.

Cell: 5.778 5.778 5.778 Å, 90.00 90.00 90.00°
Atoms (fractional coordinates):
K1 0.000 0.000 0.000
Si1 0.500 0.500 0.500
Sn1 0.000 0.000 0.500
Sn2 0.000 0.500 0.000
Sn3 0.500 0.000 0.000

Output
Formation energy without anion corrections = 1.4942 eV/atom
Calculated volume = 38.58 A^3/atom
E above lowest polymorph = 1222 meV/atom
DOS(E_F) = 4.66 states/eV/f.u.
Size of the total moment = 0.0 μB/f.u.

# 3
Here is a relaxed structure of K3SiSn from Alexandria. Energies are from PBE.

Cell: 6.357 6.357 6.357 Å, 90.00 90.00 90.00°
Atoms (fractional coordinates):
K1 0.000 0.000 0.500
K2 0.000 0.500 0.000
K3 0.500 0.000 0.000
Si1 0.000 0.000 0.000
Sn1 0.500 0.500 0.500

Output
Formation energy without anion corrections = 0.5590 eV/atom
Calculated volume = 51.38 A^3/atom
DOS(E_F) = 8.38 states/eV/f.u.
Size of the total moment = 3.6 μB/f.u.

# 4
Here is a relaxed structure of KSi3Sn from Alexandria. Energies are from PBE.

Cell: 5.348 5.348 5.348 Å, 90.00 90.00 90.00°
Atoms (fractional coordinates):
K1 0.000 0.000 0.000
Si1 0.000 0.000 0.500
Si2 0.000 0.500 0.000
Si3 0.500 0.000 0.000
Sn1 0.500 0.500 0.500

Output
Formation energy without anion corrections = 1.8815 eV/atom
Calculated volume = 30.59 A^3/atom
E above lowest polymorph = 939 meV/atom
DOS(E_F) = 4.42 states/eV/f.u.
Size of the total moment = 0.0 μB/f.u.

# 5
Here is a relaxed structure of KSiSn from Alexandria. Energies are from PBE.

Cell: 7.064 7.064 7.236 Å, 99.88 99.88 33.11°
Atoms (fractional coordinates):
K1 0.000 0.000 0.000
K2 0.616 0.616 0.525
Si1 0.363 0.363 0.599
Si2 0.898 0.898 0.443
Sn1 0.268 0.268 0.876
Sn2 0.738 0.738 0.145

Output
Formation energy without anion corrections = 0.0126 eV/atom
Calculated volume = 32.34 A^3/atom
E above lowest polymorph = 7 meV/atom
DOS(E_F) = 0.93 states/eV/f.u.
Size of the total moment = 0.0 μB/f.u.

# 6
Here is a relaxed structure of KSi3Sn from Alexandria. Energies are from PBE.

Cell: 5.322 5.322 5.322 Å, 90.00 90.00 90.00°
Atoms (fractional coordinates):
K1 0.000 0.000 0.000
Si1 0.000 0.500 0.500
Si2 0.500 0.000 0.500
Si3 0.500 0.500 0.000
Sn1 0.500 0.500 0.500

Output
Formation energy without anion corrections = 0.9421 eV/atom
Calculated volume = 30.15 A^3/atom
E above lowest polymorph = 0 meV/atom
DOS(E_F) = 3.64 states/eV/f.u.
Size of the total moment = 0.0 μB/f.u.

# 7
Here is a relaxed structure of K2SrSiSn from Alexandria. Energies are from PBE.

Cell: 6.585 6.585 6.397 Å, 90.00 90.00 90.00°
Atoms (fractional coordinates):
K1 0.000 0.500 0.000
K2 0.500 0.000 0.000
Sr1 0.000 0.000 0.500
Si1 0.500 0.500 0.500
Sn1 0.000 0.000 0.000

Output
Formation energy without anion corrections = 0.5441 eV/atom
Calculated volume = 55.48 A^3/atom
DOS(E_F) = 4.50 states/eV/f.u.
Size of the total moment = 2.0 μB/f.u.

# 8
Here is a relaxed structure of K2SiSnTe5 from Alexandria. Energies are from PBE.

Cell: 11.682 11.682 14.636 Å, 90.00 90.00 160.27°
Atoms (fractional coordinates):
K1 0.113 0.887 0.500
K2 0.127 0.873 0.880
K3 0.873 0.127 0.380
K4 0.887 0.113 0.000
Si1 0.434 0.566 0.633
Si2 0.566 0.434 0.133
Sn1 0.222 0.778 0.239
Sn2 0.778 0.222 0.739
Te1 0.039 0.961 0.239
Te2 0.282 0.718 0.882
Te3 0.326 0.674 0.594
Te4 0.340 0.660 0.187
Te5 0.484 0.516 0.483
Te6 0.516 0.484 0.983
Te7 0.660 0.340 0.687
Te8 0.674 0.326 0.094
Te9 0.718 0.282 0.382
Te10 0.961 0.039 0.739

Output
Formation energy without anion corrections = -0.4383 eV/atom
Calculated volume = 37.47 A^3/atom
DOS(E_F) = 3.52 states/eV/f.u.
Size of the total moment = 0.0 μB/f.u.

# 9
Here is a relaxed structure of KVSiSn2 from Alexandria. Energies are from PBE.

Cell: 5.224 5.224 5.759 Å, 90.00 90.00 90.00°
Atoms (fractional coordinates):
K1 0.000 0.000 0.000
V1 0.500 0.500 0.000
Si1 0.000 0.000 0.500
Sn1 0.000 0.500 0.500
Sn2 0.500 0.000 0.500

Output
Formation energy without anion corrections = 1.0009 eV/atom
Calculated volume = 31.44 A^3/atom
DOS(E_F) = 7.92 states/eV/f.u.
Size of the total moment = 4.1 μB/f.u.

# 10
Here is a relaxed structure of KSiSn2W from Alexandria. Energies are from PBE.

Cell: 5.399 5.399 5.021 Å, 90.00 90.00 90.00°
Atoms (fractional coordinates):
K1 0.000 0.000 0.000
Si1 0.000 0.000 0.500
Sn1 0.000 0.500 0.000
Sn2 0.500 0.000 0.000
W1 0.500 0.500 0.500

Output
Formation energy without anion corrections = 2.6104 eV/atom
Calculated volume = 29.27 A^3/atom
DOS(E_F) = 7.39 states/eV/f.u.
Size of the total moment = 0.1 μB/f.u.

# 11
Here is a relaxed structure of K2SrSi from Alexandria. Energies are from PBE.

Cell: 4.158 5.790 6.842 Å, 90.00 90.00 90.00°
Atoms (fractional coordinates):
K1 0.000 0.000 0.216
K2 0.000 0.000 0.784
Sr1 0.500 0.500 0.500
Si1 0.500 0.500 0.000

Output
Formation energy without anion corrections = 0.3902 eV/atom
Calculated volume = 41.18 A^3/atom
DOS(E_F) = 4.38 states/eV/f.u.
Size of the total moment = 0.0 μB/f.u.

# 12
Here is a relaxed structure of K2SrSi from Alexandria. Energies are from PBE.

Cell: 5.571 5.571 7.015 Å, 113.34 113.34 59.84°
Atoms (fractional coordinates):
K1 0.000 0.000 0.000
K2 0.215 0.215 0.650
Sr1 0.453 0.453 0.361
Si1 0.786 0.786 0.361

Output
Formation energy without anion corrections = 0.0984 eV/atom
Calculated volume = 41.86 A^3/atom
DOS(E_F) = 1.61 states/eV/f.u.
Size of the total moment = 0.0 μB/f.u.

# 13
Here is a relaxed structure of KSr2Si from Alexandria. Energies are from PBE.

Cell: 3.829 4.023 11.194 Å, 90.00 90.07 90.00°
Atoms (fractional coordinates):
K1 0.000 0.000 0.000
Sr1 0.499 0.500 0.344
Sr2 0.501 0.500 0.656
Si1 0.000 0.000 0.500

Output
Formation energy without anion corrections = -0.0862 eV/atom
Calculated volume = 43.11 A^3/atom
DOS(E_F) = 3.28 states/eV/f.u.
Size of the total moment = 0.0 μB/f.u.

# 14
Here is a relaxed structure of KSr2Si2 from Alexandria. Energies are from PBE.

Cell: 9.532 9.532 3.383 Å, 90.00 90.00 90.00°
Atoms (fractional coordinates):
K1 0.000 0.000 0.000
K2 0.500 0.500 0.000
Sr1 0.129 0.371 0.000
Sr2 0.371 0.871 0.000
Sr3 0.629 0.129 0.000
Sr4 0.871 0.629 0.000
Si1 0.169 0.669 0.500
Si2 0.331 0.169 0.500
Si3 0.669 0.831 0.500
Si4 0.831 0.331 0.500

Output
Formation energy without anion corrections = -0.0382 eV/atom
Calculated volume = 30.73 A^3/atom
E above lowest polymorph = 134 meV/atom
DOS(E_F) = 3.28 states/eV/f.u.
Size of the total moment = 0.0 μB/f.u.

# 15
Here is a relaxed structure of KSr2Si from Alexandria. Energies are from PBE.

Cell: 10.394 10.394 10.394 Å, 27.31 27.31 27.31°
Atoms (fractional coordinates):
K1 0.000 0.000 0.000
Sr1 0.212 0.212 0.212
Sr2 0.788 0.788 0.788
Si1 0.500 0.500 0.500

Output
Formation energy without anion corrections = -0.0931 eV/atom
Calculated volume = 52.15 A^3/atom
DOS(E_F) = 3.59 states/eV/f.u.
Size of the total moment = 0.0 μB/f.u.

# 16
Here is a relaxed structure of K2SrSi from Alexandria. Energies are from PBE.

Cell: 13.123 13.123 13.123 Å, 18.15 18.15 18.15°
Atoms (fractional coordinates):
K1 0.229 0.229 0.229
K2 0.771 0.771 0.771
Sr1 0.000 0.000 0.000
Si1 0.500 0.500 0.500

Output
Formation energy without anion corrections = 0.4845 eV/atom
Calculated volume = 47.87 A^3/atom
DOS(E_F) = 3.54 states/eV/f.u.
Size of the total moment = 0.2 μB/f.u.

# 17
Here is a relaxed structure of KSr2Si from Alexandria. Energies are from PBE.

Cell: 9.644 9.644 9.644 Å, 156.94 149.04 38.96°
Atoms (fractional coordinates):
K1 0.000 0.000 0.000
Sr1 0.317 0.317 0.000
Sr2 0.661 0.161 0.500
Si1 0.178 0.678 0.500

Output
Formation energy without anion corrections = -0.0117 eV/atom
Calculated volume = 45.12 A^3/atom
DOS(E_F) = 3.85 states/eV/f.u.
Size of the total moment = 0.0 μB/f.u.

# 18
Here is a relaxed structure of KSr2Si from Alexandria. Energies are from PBE.

Cell: 5.891 5.891 5.891 Å, 60.00 60.00 60.00°
Atoms (fractional coordinates):
K1 0.000 0.000 0.000
Sr1 0.500 0.500 0.500
Sr2 0.750 0.750 0.750
Si1 0.250 0.250 0.250

Output
Formation energy without anion corrections = 0.2513 eV/atom
Calculated volume = 36.14 A^3/atom
DOS(E_F) = 1.97 states/eV/f.u.
Size of the total moment = 0.0 μB/f.u.

# 19
Here is a relaxed structure of K2SrSi from Alexandria. Energies are from PBE.

Cell: 7.272 7.272 4.868 Å, 108.05 108.05 125.59°
Atoms (fractional coordinates):
K1 0.000 0.500 0.000
K2 0.500 0.000 0.000
Sr1 0.000 0.000 0.500
Si1 0.500 0.500 0.500

Output
Formation energy without anion corrections = 0.3107 eV/atom
Calculated volume = 38.49 A^3/atom
DOS(E_F) = 2.20 states/eV/f.u.
Size of the total moment = 0.0 μB/f.u.

# 20
Here is a relaxed structure of K4SrSi from Alexandria. Energies are from PBE.

Cell: 7.418 7.418 7.418 Å, 60.00 60.00 60.00°
Atoms (fractional coordinates):
K1 0.123 0.123 0.123
K2 0.123 0.123 0.632
K3 0.123 0.632 0.123
K4 0.632 0.123 0.123
Sr1 0.500 0.500 0.500
Si1 0.750 0.750 0.750

Output
Formation energy without anion corrections = 0.5057 eV/atom
Calculated volume = 48.12 A^3/atom
DOS(E_F) = 3.37 states/eV/f.u.
Size of the total moment = 0.0 μB/f.u.